Entry 1:
Density functional theory data (PBE-GGA) for a relaxed SbTe2AsN crystal.

Lattice parameters (Å, degrees): 5.7884 5.7884 3.9327 90.00 90.00 90.00
Positions (direct):
Sb 0.0000 0.0000 0.0000
Te 0.0000 0.5000 0.0000
Te 0.5000 0.0000 0.0000
As 0.5000 0.5000 0.5000
N 0.0000 0.0000 0.5000

Values from the calculation:
SG: P4/mmm (123)
V, A^3/atom: 26.353
Distance to the lowest polymorph of the same formula, eV/atom: 0.265


Entry 2:
Density functional theory data (PBE-GGA) for a relaxed SbTe2AsN crystal.

Lattice parameters (Å, degrees): 5.6814 5.6814 3.7355 90.00 90.00 90.00
Positions (direct):
Sb 0.0000 0.0000 0.0000
Te 0.0000 0.5000 0.5000
Te 0.5000 0.0000 0.5000
As 0.5000 0.5000 0.5000
N 0.5000 0.5000 0.0000

Values from the calculation:
SG: P4/mmm (123)
V, A^3/atom: 24.115
Distance to the lowest polymorph of the same formula, eV/atom: 0.000


Entry 3:
Density functional theory data (PBE-GGA) for a relaxed Sb2TeAsN crystal.

Lattice parameters (Å, degrees): 5.3159 5.3159 5.4104 90.00 90.00 90.00
Positions (direct):
Sb 0.0000 0.5000 0.0000
Sb 0.5000 0.0000 0.0000
Te 0.0000 0.0000 0.5000
As 0.0000 0.0000 0.0000
N 0.5000 0.5000 0.5000

Values from the calculation:
SG: P4/mmm (123)
V, A^3/atom: 30.578
Distance to the lowest polymorph of the same formula, eV/atom: 1.124


Entry 4:
Density functional theory data (PBE-GGA) for a relaxed SbTeAsN2 crystal.

Lattice parameters (Å, degrees): 4.1314 4.1314 5.4615 90.00 90.00 90.00
Positions (direct):
Sb 0.0000 0.0000 0.0000
Te 0.5000 0.5000 0.0000
As 0.5000 0.5000 0.5000
N 0.0000 0.5000 0.5000
N 0.5000 0.0000 0.5000

Values from the calculation:
SG: P4/mmm (123)
V, A^3/atom: 18.644
Distance to the lowest polymorph of the same formula, eV/atom: 0.088


Entry 5:
Density functional theory data (PBE-GGA) for a relaxed SbTeAsN2 crystal.

Lattice parameters (Å, degrees): 4.0520 4.0520 6.8055 90.00 90.00 90.00
Positions (direct):
Sb 0.0000 0.0000 0.0000
Te 0.0000 0.0000 0.5000
As 0.5000 0.5000 0.5000
N 0.0000 0.5000 0.0000
N 0.5000 0.0000 0.0000

Values from the calculation:
SG: P4/mmm (123)
V, A^3/atom: 22.347
Distance to the lowest polymorph of the same formula, eV/atom: 0.000


Entry 6:
Density functional theory data (PBE-GGA) for a relaxed Sb2TeAsN crystal.

Lattice parameters (Å, degrees): 4.8406 4.8406 4.6392 90.00 90.00 90.00
Positions (direct):
Sb 0.0000 0.5000 0.0000
Sb 0.5000 0.0000 0.0000
Te 0.0000 0.0000 0.5000
As 0.5000 0.5000 0.5000
N 0.0000 0.0000 0.0000

Values from the calculation:
SG: P4/mmm (123)
V, A^3/atom: 21.741
Distance to the lowest polymorph of the same formula, eV/atom: 0.000


Entry 7:
Density functional theory data (PBE-GGA) for a relaxed SbTe2AsN crystal.

Lattice parameters (Å, degrees): 4.7249 4.7249 4.9038 90.00 90.00 90.00
Positions (direct):
Sb 0.0000 0.0000 0.0000
Te 0.0000 0.5000 0.5000
Te 0.5000 0.0000 0.5000
As 0.5000 0.5000 0.0000
N 0.0000 0.0000 0.5000

Values from the calculation:
SG: P4/mmm (123)
V, A^3/atom: 21.895
Distance to the lowest polymorph of the same formula, eV/atom: 0.046


Entry 8:
Density functional theory data (PBE-GGA) for a relaxed SbTe2AsN crystal.

Lattice parameters (Å, degrees): 5.4283 5.4283 5.2559 90.00 90.00 90.00
Positions (direct):
Sb 0.0000 0.0000 0.0000
Te 0.0000 0.5000 0.5000
Te 0.5000 0.0000 0.5000
As 0.0000 0.0000 0.5000
N 0.5000 0.5000 0.0000

Values from the calculation:
SG: P4/mmm (123)
V, A^3/atom: 30.974
Distance to the lowest polymorph of the same formula, eV/atom: 1.089


Look up the V of the third one. 30.578 A^3/atom